A crystal of Bi2Pt2Cl relaxed with PBEsol. Source: the Alexandria database, functional meta-GGA SCAN. Values from VASP.

Output
- E_tot (eV for the cell shown) = -307.53
- magnetization (μB/f.u.) = 0.00
- volume (Å³/f.u.) = 117.3
- formation energy from raw total energies (eV per atom) = -0.40

```
&SYSTEM
  ibrav = 0, nat = 5, ntyp = 3
/
ATOMIC_SPECIES
Bi 208.98 Bi.upf
Pt 195.08 Pt.upf
Cl 35.45 Cl.upf
CELL_PARAMETERS angstrom
3.889 0.000 0.000
0.000 3.889 0.000
-1.945 -1.945 7.752
ATOMIC_POSITIONS crystal
Bi 0.624 0.624 0.247
Bi 0.376 0.376 0.753
Pt 0.250 0.750 0.500
Pt 0.750 0.250 0.500
Cl 0.000 0.000 0.000
```

***

A crystal of SiSe relaxed with PBEsol. Source: the Alexandria database, functional meta-GGA SCAN. Values from VASP.

Output
- E_tot (eV for the cell shown) = -28.85
- magnetization (μB/f.u.) = 0.00
- volume (Å³/f.u.) = 35.0
- formation energy from raw total energies (eV per atom) = 0.62

```
&SYSTEM
  ibrav = 0, nat = 2, ntyp = 2
/
ATOMIC_SPECIES
Si 28.09 Si.upf
Se 78.96 Se.upf
CELL_PARAMETERS angstrom
3.271 0.000 0.000
0.000 3.271 0.000
0.000 0.000 3.271
ATOMIC_POSITIONS crystal
Si 0.500 0.500 0.500
Se 0.000 0.000 0.000
```

***

A crystal of AgSb2Se relaxed with PBEsol. Source: the Alexandria database, functional meta-GGA SCAN. Values from VASP.

Output
- E_tot (eV for the cell shown) = -126.02
- magnetization (μB/f.u.) = 0.00
- volume (Å³/f.u.) = 95.8
- formation energy from raw total energies (eV per atom) = -0.01

```
&SYSTEM
  ibrav = 0, nat = 4, ntyp = 3
/
ATOMIC_SPECIES
Ag 107.87 Ag.upf
Sb 121.76 Sb.upf
Se 78.96 Se.upf
CELL_PARAMETERS angstrom
4.095 0.000 0.000
2.048 3.547 0.000
2.048 1.182 6.595
ATOMIC_POSITIONS crystal
Ag 0.245 0.245 0.266
Sb 0.995 0.995 0.016
Sb 0.751 0.751 0.748
Se 0.510 0.510 0.471
```

***

A crystal of KTi2F relaxed with PBEsol. Source: the Alexandria database, functional meta-GGA SCAN. Values from VASP.

Output
- E_tot (eV for the cell shown) = -88.80
- magnetization (μB/f.u.) = 1.23
- volume (Å³/f.u.) = 96.3
- formation energy from raw total energies (eV per atom) = -0.12

```
&SYSTEM
  ibrav = 0, nat = 8, ntyp = 3
/
ATOMIC_SPECIES
Ti 47.87 Ti.upf
F 19.00 F.upf
K 39.10 K.upf
CELL_PARAMETERS angstrom
6.482 0.000 0.000
3.241 5.614 0.000
3.241 1.871 5.293
ATOMIC_POSITIONS crystal
Ti 0.625 0.625 0.125
Ti 0.625 0.625 0.625
Ti 0.125 0.625 0.625
F 0.750 0.750 0.750
K 0.000 0.000 0.000
K 0.250 0.250 0.250
F 0.500 0.500 0.500
Ti 0.625 0.125 0.625
```

***

A crystal of U4CuTe12 relaxed with PBEsol. Source: the Alexandria database, functional meta-GGA SCAN. Values from VASP.

Output
- E_tot (eV for the cell shown) = -884.53
- magnetization (μB/f.u.) = 7.25
- volume (Å³/f.u.) = 490.5
- formation energy from raw total energies (eV per atom) = -0.48

```
&SYSTEM
  ibrav = 0, nat = 17, ntyp = 3
/
ATOMIC_SPECIES
Te 127.60 Te.upf
Cu 63.55 Cu.upf
U 238.03 U.upf
CELL_PARAMETERS angstrom
7.264 0.081 -0.014
2.631 6.771 -0.014
3.580 2.479 10.005
ATOMIC_POSITIONS crystal
Te 0.256 0.756 0.336
Te 0.744 0.744 0.661
Te 0.475 0.475 0.068
Te 0.522 0.024 0.934
Cu 0.183 0.183 0.465
U 0.192 0.192 0.163
Te 0.002 0.519 0.330
Te 0.976 0.976 0.065
U 0.689 0.689 0.160
Te 0.498 0.498 0.664
Te 0.024 0.522 0.934
U 0.806 0.311 0.839
Te 0.519 0.002 0.330
Te 0.987 0.987 0.674
Te 0.247 0.247 0.667
Te 0.756 0.256 0.336
U 0.311 0.806 0.839
```

***

A crystal of NaSe2SBr relaxed with PBEsol. Source: the Alexandria database, functional meta-GGA SCAN. Values from VASP.

Output
- E_tot (eV for the cell shown) = -73.98
- magnetization (μB/f.u.) = 0.00
- volume (Å³/f.u.) = 122.2
- formation energy from raw total energies (eV per atom) = -0.10

```
&SYSTEM
  ibrav = 0, nat = 5, ntyp = 4
/
ATOMIC_SPECIES
Se 78.96 Se.upf
Na 22.99 Na.upf
Br 79.90 Br.upf
S 32.06 S.upf
CELL_PARAMETERS angstrom
4.839 0.000 0.000
0.000 4.839 0.000
0.000 0.000 5.220
ATOMIC_POSITIONS crystal
Se 0.000 0.500 0.000
Na 0.500 0.500 0.500
Br 0.000 0.000 0.500
Se 0.500 0.000 0.000
S 0.000 0.000 0.000
```

***

A crystal of Y2AgCl relaxed with PBEsol. Source: the Alexandria database, functional meta-GGA SCAN. Values from VASP.

Output
- E_tot (eV for the cell shown) = -97.79
- magnetization (μB/f.u.) = 0.58
- volume (Å³/f.u.) = 93.3
- formation energy from raw total energies (eV per atom) = -0.69

```
&SYSTEM
  ibrav = 0, nat = 4, ntyp = 3
/
ATOMIC_SPECIES
Y 88.91 Y.upf
Cl 35.45 Cl.upf
Ag 107.87 Ag.upf
CELL_PARAMETERS angstrom
-1.228 -2.641 -3.011
1.401 -4.981 0.883
-4.034 -3.049 1.406
ATOMIC_POSITIONS crystal
Y 0.270 0.730 0.730
Y 0.730 0.270 0.270
Cl 0.000 0.500 0.500
Ag 0.500 0.000 0.000
```

***

A crystal of Ta2BeRe relaxed with PBEsol. Source: the Alexandria database, functional meta-GGA SCAN. Values from VASP.

Output
- E_tot (eV for the cell shown) = -209.00
- magnetization (μB/f.u.) = 0.00
- volume (Å³/f.u.) = 60.2
- formation enthalpy at 0 K (eV/atom) = -0.095

```
&SYSTEM
  ibrav = 0, nat = 4, ntyp = 3
/
ATOMIC_SPECIES
Ta 180.95 Ta.upf
Be 9.01 Be.upf
Re 186.21 Re.upf
CELL_PARAMETERS angstrom
4.202 0.000 0.000
-2.101 4.007 -0.017
0.000 -2.188 3.587
ATOMIC_POSITIONS crystal
Ta 0.750 0.500 0.250
Be 0.000 0.000 0.000
Re 0.500 0.000 0.500
Ta 0.250 0.500 0.750
```

***

A crystal of Mg5Si16Pd10 relaxed with PBEsol. Source: the Alexandria database, functional meta-GGA SCAN. Values from VASP.

Output
- E_tot (eV for the cell shown) = -528.59
- magnetization (μB/f.u.) = 0.00
- volume (Å³/f.u.) = 492.0
- formation energy from raw total energies (eV per atom) = -0.51

```
&SYSTEM
  ibrav = 0, nat = 31, ntyp = 3
/
ATOMIC_SPECIES
Pd 106.42 Pd.upf
Si 28.09 Si.upf
Mg 24.30 Mg.upf
CELL_PARAMETERS angstrom
-8.666 0.239 1.832
-4.751 -7.480 -0.068
-3.016 -3.402 7.606
ATOMIC_POSITIONS crystal
Pd 0.623 0.623 0.132
Si 0.073 0.795 0.795
Pd 0.487 0.013 0.013
Si 0.177 0.177 0.177
Pd 0.623 0.623 0.623
Pd 0.487 0.487 0.013
Si 0.338 0.795 0.073
Si 0.338 0.073 0.795
Pd 0.013 0.487 0.013
Si 0.795 0.073 0.338
Pd 0.013 0.013 0.487
Mg 0.403 0.403 0.403
Pd 0.132 0.623 0.623
Pd 0.013 0.487 0.487
Pd 0.623 0.132 0.623
Si 0.795 0.795 0.338
Si 0.177 0.177 0.469
Si 0.469 0.177 0.177
Si 0.795 0.338 0.795
Mg 0.403 0.791 0.403
Mg 0.403 0.403 0.791
Mg 0.750 0.750 0.750
Si 0.795 0.073 0.795
Si 0.073 0.795 0.338
Si 0.073 0.338 0.795
Pd 0.487 0.013 0.487
Si 0.177 0.469 0.177
Si 0.795 0.795 0.073
Si 0.795 0.338 0.073
Mg 0.791 0.403 0.403
Si 0.338 0.795 0.795
```

***

A crystal of SnH22Cl6O10 relaxed with PBEsol. Source: the Alexandria database, functional meta-GGA SCAN. Values from VASP.

Output
- E_tot (eV for the cell shown) = -525.35
- magnetization (μB/f.u.) = 0.00
- volume (Å³/f.u.) = 432.8

```
&SYSTEM
  ibrav = 0, nat = 78, ntyp = 4
/
ATOMIC_SPECIES
H 1.01 H.upf
O 16.00 O.upf
Cl 35.45 Cl.upf
Sn 118.71 Sn.upf
CELL_PARAMETERS angstrom
7.084 0.000 0.000
0.000 8.870 0.004
0.000 -0.676 13.778
ATOMIC_POSITIONS crystal
H 0.725 0.449 0.869
O 0.423 0.095 0.665
H 0.465 0.431 0.120
Cl 0.694 0.099 0.948
O 0.635 0.897 0.751
Cl 0.400 0.479 0.333
H 0.758 0.349 0.211
O 0.572 0.287 0.146
H 0.991 0.360 0.889
Cl 0.900 0.021 0.167
Cl 0.600 0.521 0.667
H 0.390 0.218 0.757
O 0.858 0.212 0.685
O 0.365 0.103 0.249
H 0.992 0.281 0.313
H 0.110 0.718 0.257
Cl 0.125 0.260 0.012
H 0.994 0.119 0.643
O 0.587 0.463 0.893
H 0.742 0.849 0.711
Sn 0.500 0.500 0.500
H 0.006 0.881 0.357
O 0.142 0.788 0.315
H 0.242 0.651 0.789
H 0.708 0.772 0.138
H 0.610 0.782 0.243
Cl 0.375 0.760 0.512
H 0.509 0.860 0.389
Cl 0.806 0.599 0.448
O 0.072 0.213 0.354
H 0.491 0.140 0.611
H 0.009 0.640 0.111
H 0.492 0.219 0.187
O 0.135 0.603 0.749
H 0.775 0.949 0.369
H 0.610 0.225 0.088
H 0.890 0.725 0.588
H 0.494 0.381 0.857
O 0.428 0.713 0.854
H 0.508 0.781 0.813
H 0.492 0.987 0.308
O 0.642 0.712 0.185
H 0.804 0.463 0.302
H 0.258 0.151 0.289
H 0.035 0.931 0.620
H 0.508 0.013 0.692
O 0.577 0.905 0.335
H 0.196 0.537 0.698
H 0.965 0.069 0.380
H 0.535 0.569 0.880
H 0.696 0.963 0.802
O 0.928 0.787 0.646
H 0.390 0.775 0.912
Cl 0.625 0.240 0.488
H 0.304 0.037 0.198
O 0.077 0.595 0.165
O 0.923 0.405 0.835
H 0.890 0.282 0.743
Cl 0.306 0.901 0.052
O 0.413 0.537 0.107
O 0.913 0.963 0.393
H 0.110 0.275 0.412
Cl 0.194 0.401 0.552
H 0.275 0.551 0.131
H 0.992 0.513 0.192
O 0.865 0.397 0.251
H 0.008 0.719 0.687
H 0.792 0.272 0.638
H 0.008 0.487 0.808
O 0.358 0.288 0.815
O 0.087 0.037 0.607
H 0.506 0.619 0.143
Sn 0.000 0.000 0.000
H 0.292 0.228 0.862
H 0.208 0.728 0.362
Cl 0.100 0.979 0.833
H 0.225 0.051 0.631
Cl 0.875 0.740 0.988
```

***

A crystal of ReHgO4 relaxed with PBEsol. Source: the Alexandria database, functional meta-GGA SCAN. Values from VASP.

Output
- E_tot (eV for the cell shown) = -688.56
- magnetization (μB/f.u.) = 0.00
- volume (Å³/f.u.) = 104.7
- formation energy from raw total energies (eV per atom) = -1.33

```
&SYSTEM
  ibrav = 0, nat = 24, ntyp = 3
/
ATOMIC_SPECIES
O 16.00 O.upf
Re 186.21 Re.upf
Hg 200.59 Hg.upf
CELL_PARAMETERS angstrom
5.190 0.000 0.000
0.000 5.696 0.055
0.000 0.540 14.177
ATOMIC_POSITIONS crystal
O 0.540 0.037 0.866
O 0.013 0.284 0.862
Re 0.632 0.508 0.345
O 0.423 0.571 0.770
O 0.010 0.209 0.076
Hg 0.668 0.556 0.061
O 0.990 0.791 0.924
Hg 0.832 0.056 0.561
Hg 0.332 0.444 0.939
O 0.577 0.429 0.230
O 0.490 0.709 0.576
O 0.487 0.784 0.362
Hg 0.168 0.944 0.439
O 0.923 0.929 0.730
O 0.460 0.963 0.134
O 0.510 0.291 0.424
O 0.987 0.716 0.138
O 0.077 0.071 0.270
Re 0.868 0.008 0.845
O 0.040 0.463 0.634
Re 0.132 0.992 0.155
O 0.513 0.216 0.638
O 0.960 0.537 0.366
Re 0.368 0.492 0.655
```

***

A crystal of TeSe2 relaxed with PBEsol. Source: the Alexandria database, functional meta-GGA SCAN. Values from VASP.

Output
- E_tot (eV for the cell shown) = -153.20
- magnetization (μB/f.u.) = 0.00
- volume (Å³/f.u.) = 74.0
- formation energy from raw total energies (eV per atom) = 0.27

```
&SYSTEM
  ibrav = 0, nat = 6, ntyp = 2
/
ATOMIC_SPECIES
Te 127.60 Te.upf
Se 78.96 Se.upf
CELL_PARAMETERS angstrom
5.794 0.021 0.034
-2.311 5.313 -0.034
-2.311 -2.295 4.792
ATOMIC_POSITIONS crystal
Te 0.000 0.750 0.750
Te 0.000 0.250 0.250
Se 0.769 0.135 0.635
Se 0.231 0.865 0.365
Se 0.500 0.635 0.865
Se 0.500 0.365 0.135
```

***

Look up the E_tot of the twelfth one. -153.20 eV for the cell shown

***

Repeat the eighth record exactly.
A crystal of Ta2BeRe relaxed with PBEsol. Source: the Alexandria database, functional meta-GGA SCAN. Values from VASP.

Output
- E_tot (eV for the cell shown) = -209.00
- magnetization (μB/f.u.) = 0.00
- volume (Å³/f.u.) = 60.2
- formation enthalpy at 0 K (eV/atom) = -0.095

```
&SYSTEM
  ibrav = 0, nat = 4, ntyp = 3
/
ATOMIC_SPECIES
Ta 180.95 Ta.upf
Be 9.01 Be.upf
Re 186.21 Re.upf
CELL_PARAMETERS angstrom
4.202 0.000 0.000
-2.101 4.007 -0.017
0.000 -2.188 3.587
ATOMIC_POSITIONS crystal
Ta 0.750 0.500 0.250
Be 0.000 0.000 0.000
Re 0.500 0.000 0.500
Ta 0.250 0.500 0.750
```

***

Look up the E_tot of the sixth one. -73.98 eV for the cell shown

***

Which value of magnetization does entry 3 give? 0.00 μB/f.u.